Entry from the Alexandria database: crystalline KBiTeBr2 at its relaxed geometry (PBE).

The structure in POSCAR format:
```
KBiTeBr2
1.0
5.617 0.000 0.000
0.000 5.617 0.000
0.000 0.000 6.349
K Bi Te Br
1 1 1 2
direct
0.000 0.000 0.000 K
0.500 0.500 0.500 Bi
0.000 0.000 0.500 Te
0.000 0.500 0.000 Br
0.500 0.000 0.000 Br
```

Summary:
Raw total energy ... -2.17 eV per atom
Formation energy without anion corrections ... 0.12 eV/atom
Symmetry ... P4/mmm, No. 123